Entry 1:
Material: NaCd8Pd2
Method: DFT, PBE-GGA
State: optimized geometry

Output
* crystal system: monoclinic
* VASP energy: -1.853 eV/atom

abc: 5.3164 7.2681 7.2681
angles: 110.95 97.34 97.34
Closest atoms and distances in Å follow each position.
Fractional positions:
Cd 0.5000 0.7342 0.2658  2 Pd 2.71
Cd 0.5000 0.2658 0.7342  2 Pd 2.71
Cd 0.1102 0.3204 0.0727  2 Pd 2.74-2.81, 1 Cd 2.97
Cd 0.1102 0.0727 0.3204  2 Pd 2.74-2.81, 1 Cd 2.97
Cd 0.8898 0.9273 0.6796  2 Pd 2.74-2.81, 1 Cd 2.97
Na 0.5000 0.0000 0.0000  8 Cd 3.13-3.26
Pd 0.0000 0.3104 0.6896  8 Cd 2.71-2.81
Cd 0.7056 0.3866 0.3866  2 Pd 2.80, 1 Na 3.13
Cd 0.8898 0.6796 0.9273  2 Pd 2.74-2.81, 1 Cd 2.97
Pd 0.0000 0.6896 0.3104  8 Cd 2.71-2.81
Cd 0.2944 0.6134 0.6134  2 Pd 2.80, 1 Na 3.13

Entry 2:
Material: InCo2Pt
Method: DFT, PBE-GGA
State: optimized geometry

Output
* crystal system: cubic
* VASP energy: -5.680 eV/atom

abc: 4.3748 4.3748 4.3748
angles: 60.00 60.00 60.00
Closest atoms and distances in Å follow each position.
Fractional positions:
Pt 0.7500 0.7500 0.7500  4 In 2.68, 4 Co 2.68
Co 0.0000 0.0000 0.0000  4 Pt 2.68, 4 Co 2.68
Co 0.2500 0.2500 0.2500  4 Co 2.68, 4 In 2.68
In 0.5000 0.5000 0.5000  4 Co 2.68, 4 Pt 2.68

Entry 3:
Material: LaTbEr6
Method: DFT, PBE-GGA
State: optimized geometry

Output
* crystal system: trigonal
* offset from the most stable computed form: 554.0 meV/atom

abc: 8.6646 8.6646 6.6127
angles: 49.07 49.07 60.00
Closest atoms and distances in Å follow each position.
Fractional positions:
Er 0.8447 0.4814 0.8291  5 Er 3.15-3.51, 1 La 3.27, 1 Tb 3.42
Tb 0.5000 0.5000 0.5000  6 Er 3.42
La 0.0000 0.0000 0.0000  6 Er 3.27
Er 0.8447 0.8447 0.8291  5 Er 3.15-3.51, 1 La 3.27, 1 Tb 3.42
Er 0.5186 0.1553 0.1709  5 Er 3.15-3.51, 1 La 3.27, 1 Tb 3.42
Er 0.1553 0.5186 0.1709  5 Er 3.15-3.51, 1 La 3.27, 1 Tb 3.42
Er 0.1553 0.1553 0.1709  5 Er 3.15-3.51, 1 La 3.27, 1 Tb 3.42
Er 0.4814 0.8447 0.8291  5 Er 3.15-3.51, 1 La 3.27, 1 Tb 3.42

Entry 4:
Material: HoPd6Pt23
Method: DFT, PBE-GGA
State: optimized geometry

Output
* crystal system: tetragonal
* VASP energy: -5.949 eV/atom

abc: 9.6218 9.6218 7.9243
angles: 65.68 65.68 48.63
Closest atoms and distances in Å follow each position.
Fractional positions:
Pt 0.3793 0.8768 0.8719  8 Pt 2.74-2.82, 3 Pd 2.78-2.81
Pt 0.0000 0.0000 0.0000  4 Pd 2.79, 8 Pt 2.82
Ho 0.5000 0.5000 0.5000  4 Pd 2.82, 8 Pt 2.91
Pt 0.6207 0.1232 0.1281  8 Pt 2.74-2.82, 3 Pd 2.78-2.81
Pt 0.5000 0.0000 0.5000  8 Pt 2.72-2.75, 2 Pd 2.80
Pt 0.3700 0.8913 0.3694  7 Pt 2.72-2.92, 3 Pd 2.76-2.85, 1 Ho 2.91
Pt 0.1281 0.1281 0.1232  8 Pt 2.74-2.82, 3 Pd 2.78-2.81
Pt 0.3694 0.3694 0.3700  7 Pt 2.72-2.92, 3 Pd 2.76-2.85, 1 Ho 2.91
Pt 0.6300 0.1087 0.6306  7 Pt 2.72-2.92, 3 Pd 2.76-2.85, 1 Ho 2.91
Pd 0.7481 0.7481 0.2519  12 Pt 2.76-2.80
Pd 0.7514 0.2486 0.2486  11 Pt 2.79-2.85, 1 Ho 2.82
Pt 0.1281 0.1281 0.6207  8 Pt 2.74-2.82, 3 Pd 2.78-2.81
Pt 0.8719 0.8719 0.3793  8 Pt 2.74-2.82, 3 Pd 2.78-2.81
Pt 0.0000 0.5000 0.0000  8 Pt 2.72-2.75, 2 Pd 2.80
Pt 0.8913 0.3700 0.3694  7 Pt 2.72-2.92, 3 Pd 2.76-2.85, 1 Ho 2.91
Pt 0.8768 0.3793 0.8719  8 Pt 2.74-2.82, 3 Pd 2.78-2.81
Pt 0.5000 0.5000 0.0000  8 Pt 2.79-2.81, 4 Pd 2.80
Pt 0.1087 0.6300 0.6306  7 Pt 2.72-2.92, 3 Pd 2.76-2.85, 1 Ho 2.91
Pt 0.5000 0.0000 0.0000  8 Pt 2.72-2.75, 2 Pd 2.80
Pt 0.0000 0.0000 0.5000  8 Pt 2.79-2.81, 4 Pd 2.80
Pt 0.3694 0.3694 0.8913  7 Pt 2.72-2.92, 3 Pd 2.76-2.85, 1 Ho 2.91
Pt 0.6306 0.6306 0.6300  7 Pt 2.72-2.92, 3 Pd 2.76-2.85, 1 Ho 2.91
Pt 0.8719 0.8719 0.8768  8 Pt 2.74-2.82, 3 Pd 2.78-2.81
Pd 0.2519 0.2519 0.7481  12 Pt 2.76-2.80
Pd 0.2486 0.7514 0.7514  11 Pt 2.79-2.85, 1 Ho 2.82
Pt 0.1232 0.6207 0.1281  8 Pt 2.74-2.82, 3 Pd 2.78-2.81
Pd 0.7514 0.2486 0.7514  11 Pt 2.79-2.85, 1 Ho 2.82
Pt 0.6306 0.6306 0.1087  7 Pt 2.72-2.92, 3 Pd 2.76-2.85, 1 Ho 2.91
Pd 0.2486 0.7514 0.2486  11 Pt 2.79-2.85, 1 Ho 2.82
Pt 0.0000 0.5000 0.5000  8 Pt 2.72-2.75, 2 Pd 2.80

Entry 5:
Material: CrSb2C2
Method: DFT, PBE-GGA
State: optimized geometry

Output
* crystal system: tetragonal
* offset from the most stable computed form: 0.0 meV/atom
* uncorrected formation energy: 1852 meV per atom

abc: 3.0796 3.0796 7.9774
angles: 78.87 78.87 90.00
Closest atoms and distances in Å follow each position.
Fractional positions:
Sb 0.6180 0.6180 0.7640  4 C 2.54, 4 Cr 2.83
C 0.2500 0.7500 0.5000  4 C 2.18
Sb 0.3820 0.3820 0.2360  4 C 2.54, 4 Cr 2.83
C 0.7500 0.2500 0.5000  4 C 2.18
Cr 0.0000 0.0000 0.0000  8 Sb 2.83, 4 Cr 3.08

Entry 6:
Material: NdU2Si2Pt7
Method: DFT, PBE-GGA
State: optimized geometry

Output
* crystal system: monoclinic
* uncorrected formation energy: -782 meV per atom

abc: 4.0768 4.0768 13.8662
angles: 83.96 83.96 88.77
Closest atoms and distances in Å follow each position.
Fractional positions:
Pt 0.4383 0.9369 0.1672  2 Si 2.39
Pt 0.5617 0.0631 0.8328  2 Si 2.39
Pt 0.6417 0.6417 0.5689  1 Si 2.37
U 0.8808 0.8808 0.3599  9 Pt 3.01-3.36, 4 Si 3.17-3.29
U 0.1192 0.1192 0.6401  9 Pt 3.01-3.36, 4 Si 3.17-3.29
Pt 0.9369 0.4383 0.1672  2 Si 2.39
Pt 0.3583 0.3583 0.4311  1 Si 2.37
Si 0.5953 0.5953 0.7412  5 Pt 2.37-2.39
Pt 0.0631 0.5617 0.8328  2 Si 2.39
Pt 0.5000 0.5000 0.0000  4 Nd 2.85-2.91, 8 Pt 3.06-3.08
Nd 0.0000 0.0000 0.0000  12 Pt 2.85-3.08
Si 0.4047 0.4047 0.2588  5 Pt 2.37-2.39

Entry 7:
Material: GaSn2C
Method: DFT, PBE-GGA
State: optimized geometry

Output
* crystal system: tetragonal
* offset from the most stable computed form: 0.0 meV/atom

abc: 5.7868 5.7868 6.7775
angles: 64.73 64.73 90.00
Closest atoms and distances in Å follow each position.
Fractional positions:
C 0.5000 0.5000 0.0000  4 Sn 2.25
Sn 0.8750 0.8109 0.7500  2 C 2.25
C 0.2500 0.7500 0.5000  4 Sn 2.25
Sn 0.3750 0.4391 0.7500  2 C 2.25
Sn 0.5609 0.1250 0.2500  2 C 2.25
Ga 0.0000 0.0000 0.0000  4 Sn 2.69
Ga 0.7500 0.2500 0.5000  4 Sn 2.69
Sn 0.1891 0.6250 0.2500  2 C 2.25

Entry 8:
Material: Li3Co2Ge4
Method: DFT, PBE-GGA
State: optimized geometry

Output
* crystal system: monoclinic
* VASP energy: -4.496 eV/atom

abc: 3.9654 5.4155 7.5816
angles: 102.59 90.00 111.48
Closest atoms and distances in Å follow each position.
Fractional positions:
Ge 0.7224 0.4448 0.0872  1 Co 2.27, 2 Ge 2.52
Co 0.6989 0.3977 0.3772  4 Ge 2.27-2.33
Co 0.3011 0.6023 0.6228  4 Ge 2.27-2.33
Ge 0.0952 0.1904 0.4046  3 Co 2.27-2.33
Ge 0.9048 0.8096 0.5954  3 Co 2.27-2.33
Li 0.0000 0.0000 0.0000  8 Ge 2.95-3.02
Li 0.3913 0.7825 0.3065  4 Co 2.76-3.02, 7 Ge 2.83-2.94
Li 0.6087 0.2175 0.6935  4 Co 2.76-3.02, 7 Ge 2.83-2.94
Ge 0.2776 0.5552 0.9128  1 Co 2.27, 2 Ge 2.52

Entry 9:
Material: Pr2NdV
Method: DFT, PBE-GGA
State: optimized geometry

Output
* crystal system: trigonal
* VASP energy: -5.217 eV/atom

abc: 3.4829 3.4829 12.0606
angles: 81.70 81.70 60.00
Closest atoms and distances in Å follow each position.
Fractional positions:
Pr 0.9200 0.9200 0.2399  1 V 2.85
V 0.0000 0.0000 0.0000  2 Pr 2.85
Nd 0.5000 0.5000 0.5000  6 Nd 3.48, 6 Pr 3.69
Pr 0.0800 0.0800 0.7601  1 V 2.85

Entry 10:
Material: Ac6Sm3Tm
Method: DFT, PBE-GGA
State: optimized geometry

Output
* crystal system: trigonal
* VASP energy: -4.212 eV/atom

abc: 10.2330 10.2330 10.2330
angles: 110.12 110.12 110.12
Closest atoms and distances in Å follow each position.
Fractional positions:
Ac 0.0878 0.3821 0.5840  4 Sm 3.66-3.98, 5 Ac 3.90-4.00
Ac 0.9122 0.6179 0.4160  4 Sm 3.66-3.98, 5 Ac 3.90-4.00
Sm 0.5612 0.7242 0.8409  1 Tm 3.13
Ac 0.2679 0.8436 0.9051  3 Sm 3.60-3.78, 1 Tm 3.85, 7 Ac 3.85-4.00
Sm 0.1591 0.4388 0.2758  1 Tm 3.13
Sm 0.4388 0.2758 0.1591  1 Tm 3.13
Sm 0.8409 0.5612 0.7242  1 Tm 3.13
Ac 0.8436 0.9051 0.2679  3 Sm 3.60-3.78, 1 Tm 3.85, 7 Ac 3.85-4.00
Ac 0.3821 0.5840 0.0878  4 Sm 3.66-3.98, 5 Ac 3.90-4.00
Tm 0.5000 0.5000 0.5000  6 Sm 3.13
Ac 0.6179 0.4160 0.9122  4 Sm 3.66-3.98, 5 Ac 3.90-4.00
Ac 0.0949 0.7321 0.1564  3 Sm 3.60-3.78, 1 Tm 3.85, 7 Ac 3.85-4.00
Sm 0.7242 0.8409 0.5612  1 Tm 3.13
Tm 0.0000 0.0000 0.0000  6 Sm 3.72, 6 Ac 3.85
Ac 0.1564 0.0949 0.7321  3 Sm 3.60-3.78, 1 Tm 3.85, 7 Ac 3.85-4.00
Ac 0.4160 0.9122 0.6179  4 Sm 3.66-3.98, 5 Ac 3.90-4.00
Sm 0.2758 0.1591 0.4388  1 Tm 3.13
Ac 0.5840 0.0878 0.3821  4 Sm 3.66-3.98, 5 Ac 3.90-4.00
Ac 0.9051 0.2679 0.8436  3 Sm 3.60-3.78, 1 Tm 3.85, 7 Ac 3.85-4.00
Ac 0.7321 0.1564 0.0949  3 Sm 3.60-3.78, 1 Tm 3.85, 7 Ac 3.85-4.00

Entry 11:
Material: Pm2Co2P2C
Method: DFT, PBE-GGA
State: optimized geometry

Output
* crystal system: monoclinic
* VASP energy: -7.081 eV/atom

abc: 3.8257 5.6837 5.9513
angles: 70.91 71.25 70.33
Closest atoms and distances in Å follow each position.
Fractional positions:
Pm 0.4383 0.8131 0.3103  2 C 2.62, 1 P 2.89
Pm 0.5617 0.1869 0.6897  2 C 2.62, 1 P 2.89
P 0.1840 0.3622 0.2697  3 Co 2.27-2.29
Co 0.1894 0.6949 0.9264  1 C 1.78
P 0.8160 0.6378 0.7303  3 Co 2.27-2.29
C 0.0000 0.0000 0.0000  2 Co 1.78
Co 0.8106 0.3051 0.0736  1 C 1.78

Entry 12:
Material: BaNiW2S8
Method: DFT, PBE-GGA
State: optimized geometry

Output
* crystal system: trigonal
* uncorrected formation energy: -630 meV per atom

abc: 6.0967 6.0967 9.5370
angles: 71.36 71.36 60.00
Closest atoms and distances in Å follow each position.
Fractional positions:
S 0.8285 0.8285 0.5144  1 W 2.21
Ba 0.5000 0.5000 0.5000  12 S 3.52-3.64
Ni 0.0000 0.0000 0.0000  6 S 2.41
S 0.6315 0.2668 0.1610  1 W 2.21, 1 Ni 2.41
S 0.1715 0.1715 0.4856  1 W 2.21
S 0.0593 0.3685 0.8390  1 W 2.21, 1 Ni 2.41
S 0.3685 0.7332 0.8390  1 W 2.21, 1 Ni 2.41
W 0.7454 0.7454 0.7637  4 S 2.21
S 0.9407 0.6315 0.1610  1 W 2.21, 1 Ni 2.41
S 0.2668 0.9407 0.1610  1 W 2.21, 1 Ni 2.41
W 0.2546 0.2546 0.2363  4 S 2.21
S 0.7332 0.0593 0.8390  1 W 2.21, 1 Ni 2.41

Entry 13:
Material: La5AgHg2Ir2
Method: DFT, PBE-GGA
State: optimized geometry

Output
* crystal system: tetragonal
* VASP energy: -5.085 eV/atom

abc: 3.8707 12.2157 12.2157
angles: 90.00 90.00 90.00
Closest atoms and distances in Å follow each position.
Fractional positions:
Ir 0.0000 0.3679 0.1321  6 La 2.85-2.99
La 0.5000 0.2035 0.0824  2 Ir 2.85
La 0.5000 0.0824 0.7965  2 Ir 2.85
Hg 0.0000 0.6751 0.1751  1 Ir 3.33, 6 La 3.56-3.59
Hg 0.0000 0.1751 0.3249  1 Ir 3.33, 6 La 3.56-3.59
Ir 0.0000 0.1321 0.6321  6 La 2.85-2.99
La 0.5000 0.7035 0.4176  2 Ir 2.85
La 0.5000 0.5824 0.7035  2 Ir 2.85
La 0.5000 0.5000 0.0000  4 Ir 2.99
Ag 0.0000 0.5000 0.5000  8 La 3.31
Ir 0.0000 0.8679 0.3679  6 La 2.85-2.99
La 0.5000 0.9176 0.2035  2 Ir 2.85
La 0.5000 0.7965 0.9176  2 Ir 2.85
La 0.5000 0.2965 0.5824  2 Ir 2.85
Ag 0.0000 0.0000 0.0000  8 La 3.31
La 0.5000 0.4176 0.2965  2 Ir 2.85
La 0.5000 0.0000 0.5000  4 Ir 2.99
Ir 0.0000 0.6321 0.8679  6 La 2.85-2.99
Hg 0.0000 0.3249 0.8249  1 Ir 3.33, 6 La 3.56-3.59
Hg 0.0000 0.8249 0.6751  1 Ir 3.33, 6 La 3.56-3.59

Entry 14:
Material: Ta2CdGa2
Method: DFT, PBE-GGA
State: optimized geometry

Output
* crystal system: tetragonal
* VASP energy: -5.996 eV/atom

abc: 6.8228 6.8228 3.7327
angles: 90.00 90.00 90.00
Closest atoms and distances in Å follow each position.
Fractional positions:
Ga 0.6266 0.1267 0.0000  1 Ga 2.44, 2 Ta 2.69, 2 Cd 2.69
Ta 0.3273 0.1727 0.5000  6 Ga 2.69-2.78
Ta 0.1727 0.6727 0.5000  6 Ga 2.69-2.78
Cd 0.5000 0.5000 0.0000  4 Ga 2.69
Cd 0.0000 0.0000 0.0000  4 Ga 2.69
Ga 0.8734 0.6266 0.0000  1 Ga 2.44, 2 Ta 2.69, 2 Cd 2.69
Ta 0.8273 0.3273 0.5000  6 Ga 2.69-2.78
Ga 0.1267 0.3734 0.0000  1 Ga 2.44, 2 Ta 2.69, 2 Cd 2.69
Ga 0.3734 0.8734 0.0000  1 Ga 2.44, 2 Ta 2.69, 2 Cd 2.69
Ta 0.6727 0.8273 0.5000  6 Ga 2.69-2.78

Entry 15:
Material: KAlBiTe3
Method: DFT, PBE-GGA
State: optimized geometry

Output
* crystal system: monoclinic
* uncorrected formation energy: -478 meV per atom

abc: 4.4412 10.0468 11.0367
angles: 98.77 90.00 90.00
Closest atoms and distances in Å follow each position.
Fractional positions:
Te 0.7500 0.1807 0.5059  3 Al 2.73-2.74
Al 0.2500 0.0808 0.6055  4 Te 2.58-2.74
Te 0.2500 0.1177 0.8424  1 Al 2.58
Te 0.7500 0.4342 0.1506  3 Bi 3.02-3.34
Te 0.7500 0.8823 0.1576  1 Al 2.58
Te 0.2500 0.8193 0.4941  3 Al 2.73-2.74
Bi 0.2500 0.6384 0.1550  5 Te 3.02-3.34
Te 0.2500 0.5658 0.8494  3 Bi 3.02-3.34
Bi 0.7500 0.3616 0.8450  5 Te 3.02-3.34
K 0.7500 0.8310 0.8116  5 Te 3.54-3.77
K 0.2500 0.1690 0.1884  5 Te 3.54-3.77
Al 0.7500 0.9192 0.3945  4 Te 2.58-2.74

Entry 16:
Material: CoRu2Br
Method: DFT, PBE-GGA
State: optimized geometry

Output
* crystal system: monoclinic
* offset from the most stable computed form: 428.7 meV/atom
* uncorrected formation energy: 975 meV per atom

abc: 5.1333 5.1333 2.9499
angles: 74.76 74.76 116.32
Closest atoms and distances in Å follow each position.
Fractional positions:
Br 0.5000 0.0000 0.5000  4 Ru 2.60, 4 Co 2.71-2.84
Co 0.0000 0.5000 0.5000  4 Ru 2.60, 4 Br 2.71-2.84
Ru 0.5000 0.5000 0.0000  2 Co 2.60, 2 Br 2.60, 4 Ru 2.71-2.84
Ru 0.0000 0.0000 0.0000  2 Br 2.60, 2 Co 2.60, 4 Ru 2.71-2.84

Entry 17:
Material: K2DyZn2Se4
Method: DFT, PBE-GGA
State: optimized geometry

Output
* crystal system: monoclinic
* uncorrected formation energy: -1099 meV per atom

abc: 4.0680 8.1569 8.3193
angles: 112.52 104.15 90.00
Closest atoms and distances in Å follow each position.
Fractional positions:
Se 0.4699 0.2229 0.9399  1 Zn 2.50
Zn 0.6866 0.0128 0.3733  3 Se 2.50-2.57
Zn 0.3134 0.9872 0.6267  3 Se 2.50-2.57
Se 0.8076 0.7906 0.6153  2 Zn 2.57
Se 0.1924 0.2094 0.3847  2 Zn 2.57
K 0.1278 0.5606 0.2557  7 Se 3.41-3.56, 1 Zn 3.58
K 0.8722 0.4394 0.7443  7 Se 3.41-3.56, 1 Zn 3.58
Dy 0.0000 0.0000 0.0000  6 Se 2.89
Se 0.5301 0.7771 0.0601  1 Zn 2.50

Entry 18:
Material: Tb2Ga4AgPt3
Method: DFT, PBE-GGA
State: optimized geometry

Output
* crystal system: tetragonal
* VASP energy: -5.055 eV/atom

abc: 4.1932 4.1932 10.8841
angles: 90.00 90.00 90.00
Closest atoms and distances in Å follow each position.
Fractional positions:
Pt 0.0000 0.0000 0.5000  4 Ga 2.58
Ga 0.0000 0.5000 0.3619  3 Pt 2.46-2.58, 2 Ag 2.58
Pt 0.0000 0.5000 0.1357  5 Ga 2.46-2.56
Ga 0.0000 0.0000 0.0000  4 Pt 2.56
Pt 0.5000 0.0000 0.8643  5 Ga 2.46-2.56
Ga 0.5000 0.5000 0.0000  4 Pt 2.56
Tb 0.5000 0.0000 0.2397  6 Pt 3.17-3.52, 8 Ga 3.25-3.35, 2 Ag 3.52
Ga 0.5000 0.0000 0.6381  3 Pt 2.46-2.58, 2 Ag 2.58
Tb 0.0000 0.5000 0.7603  6 Pt 3.17-3.52, 8 Ga 3.25-3.35, 2 Ag 3.52
Ag 0.5000 0.5000 0.5000  4 Ga 2.58

Entry 19:
Material: NbInS3
Method: DFT, PBE-GGA
State: optimized geometry

Output
* crystal system: cubic
* offset from the most stable computed form: 1411.3 meV/atom
* uncorrected formation energy: 675 meV per atom

abc: 4.9028 4.9028 4.9028
angles: 90.00 90.00 90.00
Closest atoms and distances in Å follow each position.
Fractional positions:
In 0.0000 0.0000 0.0000  6 S 2.45
S 0.5000 0.0000 0.0000  2 In 2.45
S 0.0000 0.0000 0.5000  2 In 2.45
S 0.0000 0.5000 0.0000  2 In 2.45
Nb 0.5000 0.5000 0.5000  12 S 3.47

Entry 20:
Material: RbCd2FeGe
Method: DFT, PBE-GGA
State: optimized geometry

Output
* crystal system: tetragonal
* VASP energy: -3.069 eV/atom

abc: 5.2260 5.2260 4.5883
angles: 90.00 90.00 90.00
Closest atoms and distances in Å follow each position.
Fractional positions:
Rb 0.5000 0.5000 0.5000  8 Cd 3.48, 4 Ge 3.70
Cd 0.5000 0.0000 0.0000  2 Fe 2.61
Fe 0.0000 0.0000 0.0000  2 Ge 2.29
Cd 0.0000 0.5000 0.0000  2 Fe 2.61
Ge 0.0000 0.0000 0.5000  2 Fe 2.29